No. 1
The following is a GGA+U calculation of a relaxed CuNiO2 crystal, from Alexandria via LeMat-Bulk.

The structure in POSCAR format:
```
CuNiO2
1.0
2.992 0.000 0.000
-1.496 2.591 0.000
0.000 0.000 17.020
Cu Ni O
3 3 6
Direct
0.000 0.000 0.000
0.333 0.667 0.667
0.667 0.333 0.333
0.000 0.000 0.500
0.333 0.667 0.167
0.667 0.333 0.833
0.000 0.000 0.106
0.000 0.000 0.894
0.333 0.667 0.561
0.333 0.667 0.772
0.667 0.333 0.228
0.667 0.333 0.439
```

Summary:
DOS at the Fermi energy = 2.1 states/eV/f.u.
V = 11.0 Å³/atom
Final energy = -4.889 eV/atom

No. 2
The following is a GGA+U calculation of a relaxed CuNiO2 crystal, from Alexandria via LeMat-Bulk.

The structure in POSCAR format:
```
CuNiO2
1.0
5.183 0.000 0.000
0.000 5.183 0.000
0.000 0.000 5.183
Cu Ni O
4 4 8
Direct
0.000 0.000 0.000
0.000 0.500 0.500
0.500 0.000 0.500
0.500 0.500 0.000
0.000 0.000 0.500
0.000 0.500 0.000
0.500 0.000 0.000
0.500 0.500 0.500
0.250 0.250 0.250
0.250 0.250 0.750
0.250 0.750 0.250
0.250 0.750 0.750
0.750 0.250 0.250
0.750 0.250 0.750
0.750 0.750 0.250
0.750 0.750 0.750
```

Summary:
DOS at the Fermi energy = 8.1 states/eV/f.u.
V = 8.7 Å³/atom
Final energy = -3.797 eV/atom

No. 3
The following is a GGA+U calculation of a relaxed CuNiO2 crystal, from Alexandria via LeMat-Bulk.

The structure in POSCAR format:
```
CuNiO2
1.0
4.354 0.000 0.000
0.000 4.354 0.000
0.000 0.000 9.812
Cu Ni O
4 4 8
Direct
0.000 0.000 0.000
0.000 0.500 0.250
0.500 0.000 0.750
0.500 0.500 0.500
0.000 0.000 0.500
0.000 0.500 0.750
0.500 0.000 0.250
0.500 0.500 0.000
0.244 0.250 0.625
0.250 0.744 0.875
0.250 0.756 0.375
0.256 0.250 0.125
0.744 0.750 0.125
0.750 0.244 0.375
0.750 0.256 0.875
0.756 0.750 0.625
```

Summary:
DOS at the Fermi energy = 3.6 states/eV/f.u.
V = 11.6 Å³/atom
Final energy = -4.699 eV/atom

No. 4
The following is a GGA+U calculation of a relaxed CuNiO2 crystal, from Alexandria via LeMat-Bulk.

The structure in POSCAR format:
```
CuNiO2
1.0
2.903 0.000 0.000
0.000 2.805 0.000
0.000 0.000 10.174
Cu Ni O
2 2 4
Direct
0.000 0.000 0.000
0.000 0.500 0.500
0.500 0.000 0.760
0.500 0.500 0.260
0.000 0.000 0.344
0.000 0.500 0.844
0.500 0.000 0.118
0.500 0.500 0.618
```

Summary:
DOS at the Fermi energy = 2.7 states/eV/f.u.
V = 10.4 Å³/atom
Final energy = -4.619 eV/atom

No. 5
The following is a GGA+U calculation of a relaxed Cu2NiO4 crystal, from Alexandria via LeMat-Bulk.

The structure in POSCAR format:
```
Cu2NiO4
1.0
3.729 -4.844 0.000
3.729 4.844 0.000
-3.683 0.000 3.898
Cu Ni O
4 2 8
Direct
0.000 0.000 0.000
0.000 0.000 0.500
0.000 0.500 0.000
0.500 0.000 0.500
0.417 0.583 0.750
0.583 0.417 0.250
0.017 0.341 0.636
0.218 0.383 0.222
0.341 0.017 0.136
0.383 0.218 0.722
0.617 0.782 0.278
0.659 0.983 0.864
0.782 0.617 0.778
0.983 0.659 0.364
```

Summary:
DOS at the Fermi energy = 0.4 states/eV/f.u.
V = 10.1 Å³/atom
Final energy = -4.946 eV/atom
E above lowest polymorph = 0.0000 eV/atom

No. 6
The following is a GGA+U calculation of a relaxed CuNi2O crystal, from Alexandria via LeMat-Bulk.

The structure in POSCAR format:
```
CuNi2O
1.0
4.546 0.000 0.000
0.000 4.546 0.000
0.000 0.000 10.855
Cu Ni O
4 8 4
Direct
0.000 0.000 0.000
0.000 0.500 0.250
0.500 0.000 0.750
0.500 0.500 0.500
0.045 0.250 0.625
0.250 0.545 0.875
0.250 0.955 0.375
0.455 0.250 0.125
0.545 0.750 0.125
0.750 0.045 0.375
0.750 0.455 0.875
0.955 0.750 0.625
0.000 0.000 0.500
0.000 0.500 0.750
0.500 0.000 0.250
0.500 0.500 0.000
```

Summary:
DOS at the Fermi energy = 0.8 states/eV/f.u.
V = 14.0 Å³/atom
Final energy = -3.092 eV/atom

No. 7
The following is a GGA+U calculation of a relaxed Cu2NiO2 crystal, from Alexandria via LeMat-Bulk.

The structure in POSCAR format:
```
Cu2NiO2
1.0
3.835 -4.163 0.000
3.835 4.163 0.000
-3.543 0.000 4.056
Cu Ni O
4 2 4
Direct
0.000 0.000 0.000
0.000 0.000 0.500
0.000 0.500 0.000
0.500 0.000 0.500
0.433 0.567 0.750
0.567 0.433 0.250
0.219 0.382 0.268
0.382 0.219 0.768
0.618 0.781 0.232
0.781 0.618 0.732
```

Summary:
V = 13.0 Å³/atom
Final energy = -4.690 eV/atom
E above lowest polymorph = 0.0000 eV/atom

No. 8
The following is a GGA+U calculation of a relaxed CuNi2O4 crystal, from Alexandria via LeMat-Bulk.

The structure in POSCAR format:
```
CuNi2O4
1.0
0.000 4.133 4.133
4.133 0.000 4.133
4.133 4.133 0.000
Cu Ni O
2 4 8
Direct
0.125 0.125 0.125
0.875 0.875 0.875
0.000 0.500 0.500
0.500 0.000 0.500
0.500 0.500 0.000
0.500 0.500 0.500
0.259 0.259 0.259
0.259 0.259 0.722
0.259 0.722 0.259
0.278 0.741 0.741
0.722 0.259 0.259
0.741 0.278 0.741
0.741 0.741 0.278
0.741 0.741 0.741
```

Summary:
DOS at the Fermi energy = 4.1 states/eV/f.u.
V = 10.1 Å³/atom
Final energy = -4.873 eV/atom

No. 9
The following is a GGA+U calculation of a relaxed CuNiO2 crystal, from Alexandria via LeMat-Bulk.

The structure in POSCAR format:
```
CuNiO2
1.0
2.990 0.000 0.000
-1.495 2.589 0.000
0.000 0.000 14.684
Cu Ni O
3 3 6
Direct
0.000 0.000 0.000
0.333 0.667 0.667
0.667 0.333 0.333
0.000 0.000 0.500
0.333 0.667 0.167
0.667 0.333 0.833
0.000 0.000 0.247
0.000 0.000 0.753
0.333 0.667 0.420
0.333 0.667 0.914
0.667 0.333 0.086
0.667 0.333 0.580
```

Summary:
DOS at the Fermi energy = 2.7 states/eV/f.u.
V = 9.5 Å³/atom
Final energy = -4.844 eV/atom

No. 10
The following is a GGA+U calculation of a relaxed CuNiO3 crystal, from Alexandria via LeMat-Bulk.

The structure in POSCAR format:
```
CuNiO3
1.0
3.650 0.000 0.000
0.000 3.650 0.000
0.000 0.000 3.650
Cu Ni O
1 1 3
Direct
0.000 0.000 0.000
0.500 0.500 0.500
0.000 0.500 0.500
0.500 0.000 0.500
0.500 0.500 0.000
```

Summary:
DOS at the Fermi energy = 10.2 states/eV/f.u.
V = 9.7 Å³/atom
Final energy = -4.129 eV/atom

No. 11
The following is a GGA+U calculation of a relaxed CuNiO2 crystal, from Alexandria via LeMat-Bulk.

The structure in POSCAR format:
```
CuNiO2
1.0
2.938 0.000 0.000
-1.469 2.544 0.000
0.000 0.000 17.108
Cu Ni O
3 3 6
Direct
0.000 0.000 0.000
0.333 0.667 0.667
0.667 0.333 0.333
0.000 0.000 0.500
0.333 0.667 0.167
0.667 0.333 0.833
0.000 0.000 0.394
0.000 0.000 0.606
0.333 0.667 0.061
0.333 0.667 0.273
0.667 0.333 0.727
0.667 0.333 0.939
```

Summary:
DOS at the Fermi energy = 3.3 states/eV/f.u.
V = 10.7 Å³/atom
Final energy = -4.393 eV/atom

No. 12
The following is a GGA+U calculation of a relaxed CuNi3O4 crystal, from Alexandria via LeMat-Bulk.

The structure in POSCAR format:
```
CuNi3O4
1.0
5.864 0.000 0.000
0.000 8.894 0.000
0.000 0.000 2.933
Cu Ni O
2 6 8
Direct
0.000 0.000 0.000
0.500 0.500 0.000
0.000 0.500 0.000
0.250 0.250 0.500
0.250 0.750 0.500
0.500 0.000 0.000
0.750 0.250 0.500
0.750 0.750 0.500
0.000 0.274 0.000
0.000 0.726 0.000
0.237 0.000 0.500
0.263 0.500 0.500
0.500 0.226 0.000
0.500 0.774 0.000
0.737 0.500 0.500
0.763 0.000 0.500
```

Summary:
DOS at the Fermi energy = 0.4 states/eV/f.u.
V = 9.6 Å³/atom
Final energy = -4.837 eV/atom
E above lowest polymorph = 0.0000 eV/atom